Entry a
Below is crystalline NaNdPO at its relaxed geometry, with properties calculated at the PBE-GGA level.

a = 5.8004 Å, b = 5.8004 Å, c = 4.9781 Å
α = 90.00°, β = 90.00°, γ = 90.00°
With the nearest neighbours (Å) after each atom.
Fractional positions:
Na (0.2500, 0.2500, 0.0043)  2 P 2.49
Na (0.7500, 0.7500, 0.9957)  2 P 2.49
Nd (0.7500, 0.2500, 0.5000)  2 O 2.49
Nd (0.2500, 0.7500, 0.5000)  2 O 2.49
O (0.7500, 0.2500, 0.0000)  2 Nd 2.49
O (0.2500, 0.7500, 0.0000)  2 Nd 2.49
P (0.7500, 0.7500, 0.4956)  2 Na 2.49
P (0.2500, 0.2500, 0.5044)  2 Na 2.49

## Properties
- Crystal system: tetragonal

Entry b
Below is crystalline NaNdPO at its relaxed geometry, with properties calculated at the PBE-GGA level.

a = 3.7692 Å, b = 8.0171 Å, c = 6.0151 Å
α = 90.00°, β = 90.00°, γ = 90.00°
With the nearest neighbours (Å) after each atom.
Fractional positions:
Na (0.0000, 0.9122, 0.0225)  2 O 2.20-2.29
Na (0.0000, 0.0878, 0.5225)  2 O 2.20-2.29
Nd (0.5000, 0.6902, 0.4274)  2 O 2.21
Nd (0.5000, 0.3098, 0.9274)  2 O 2.21
O (0.0000, 0.8321, 0.3887)  2 Na 2.20-2.29, 2 Nd 2.21
O (0.0000, 0.1679, 0.8887)  2 Na 2.20-2.29, 2 Nd 2.21
P (0.5000, 0.3352, 0.4155)  2 Na 2.81, 3 Nd 2.85-3.09
P (0.5000, 0.6648, 0.9155)  2 Na 2.81, 3 Nd 2.85-3.09

## Properties
- Crystal system: orthorhombic

Q: Which of them is the least stable? A: entry a.

Entry a
Below is crystalline NaNdSeO at its relaxed geometry, with properties calculated at the PBE-GGA level.

a = 4.5282 Å, b = 7.5150 Å, c = 6.4440 Å
α = 90.00°, β = 90.00°, γ = 90.00°
With the nearest neighbours (Å) after each atom.
Fractional positions:
Na (0.0000, 0.2905, 0.1120)  2 O 2.64, 2 Se 2.88-2.89
Na (0.0000, 0.7095, 0.6120)  2 O 2.64, 2 Se 2.88-2.89
Nd (0.5000, 0.8612, 0.0280)  2 O 2.21
Nd (0.5000, 0.1388, 0.5280)  2 O 2.21
O (0.5000, 0.1217, 0.1861)  2 Nd 2.21
O (0.5000, 0.8783, 0.6861)  2 Nd 2.21
Se (0.0000, 0.6715, 0.1650)  2 Nd 2.82, 2 Na 2.88-2.89
Se (0.0000, 0.3285, 0.6650)  2 Nd 2.82, 2 Na 2.88-2.89

## Properties
- Crystal system: orthorhombic

Entry b
Below is crystalline NaNdSeO at its relaxed geometry, with properties calculated at the PBE-GGA level.

a = 6.8669 Å, b = 7.6659 Å, c = 6.6548 Å
α = 90.00°, β = 101.27°, γ = 90.00°
With the nearest neighbours (Å) after each atom.
Fractional positions:
Na (0.9018, 0.2678, 0.0078)  1 O 2.37
Na (0.0982, 0.7678, 0.4922)  1 O 2.37
Na (0.9018, 0.2322, 0.5078)  1 O 2.37
Na (0.0982, 0.7322, 0.9922)  1 O 2.37
Nd (0.5569, 0.6213, 0.2330)  3 O 2.31-2.36
Nd (0.4431, 0.1213, 0.2670)  3 O 2.31-2.36
Nd (0.5569, 0.8787, 0.7330)  3 O 2.31-2.36
Nd (0.4431, 0.3787, 0.7670)  3 O 2.31-2.36
O (0.5980, 0.3406, 0.1042)  3 Nd 2.31-2.36, 1 Na 2.37
O (0.4020, 0.8406, 0.3958)  3 Nd 2.31-2.36, 1 Na 2.37
O (0.5980, 0.1594, 0.6042)  3 Nd 2.31-2.36, 1 Na 2.37
O (0.4020, 0.6594, 0.8958)  3 Nd 2.31-2.36, 1 Na 2.37
Se (0.8067, 0.9287, 0.1716)  4 Na 2.90-3.20, 3 Nd 2.99-3.11
Se (0.1933, 0.4287, 0.3284)  4 Na 2.90-3.20, 3 Nd 2.99-3.11
Se (0.8067, 0.5713, 0.6716)  4 Na 2.90-3.20, 3 Nd 2.99-3.11
Se (0.1933, 0.0713, 0.8284)  4 Na 2.90-3.20, 3 Nd 2.99-3.11

## Properties
- Crystal system: monoclinic

Q: Which of them is the least stable? A: entry a.

Entry a
Below is crystalline NaNdSeO at its relaxed geometry, with properties calculated at the PBE-GGA level.

a = 5.7969 Å, b = 5.7915 Å, c = 11.2045 Å
α = 90.00°, β = 107.78°, γ = 90.00°
With the nearest neighbours (Å) after each atom.
Fractional positions:
Na (0.9470, 0.1396, 0.4076)  5 Se 2.92-3.12
Na (0.4440, 0.6376, 0.4076)  5 Se 2.93-3.10
Na (0.5560, 0.1376, 0.5924)  5 Se 2.93-3.10
Na (0.0530, 0.6396, 0.5924)  5 Se 2.92-3.12
Nd (0.0601, 0.8356, 0.1081)  4 O 2.33-2.38
Nd (0.5601, 0.3354, 0.1083)  4 O 2.33-2.38
Nd (0.4399, 0.8354, 0.8917)  4 O 2.33-2.38
Nd (0.9399, 0.3356, 0.8919)  4 O 2.33-2.38
O (0.7499, 0.0820, 0.0000)  4 Nd 2.33-2.38
O (0.2501, 0.5820, 0.0000)  4 Nd 2.33-2.38
O (0.7500, 0.5812, 0.0001)  4 Nd 2.35
O (0.2500, 0.0812, 0.9999)  4 Nd 2.35
Se (0.3823, 0.1434, 0.3183)  5 Na 2.93-3.12, 2 Nd 3.05-3.09
Se (0.8818, 0.6453, 0.3184)  5 Na 2.92-3.10, 2 Nd 3.05-3.09
Se (0.1182, 0.1453, 0.6816)  5 Na 2.92-3.10, 2 Nd 3.05-3.09
Se (0.6177, 0.6434, 0.6817)  5 Na 2.93-3.12, 2 Nd 3.05-3.09

## Properties
- Crystal system: monoclinic

Entry b
Below is crystalline NaNdSeO at its relaxed geometry, with properties calculated at the PBE-GGA level.

a = 4.1155 Å, b = 4.1155 Å, c = 9.6554 Å
α = 90.00°, β = 90.00°, γ = 90.00°
With the nearest neighbours (Å) after each atom.
Fractional positions:
Na (0.7500, 0.2500, 0.5000)  4 Se 2.83, 4 Na 2.91
Na (0.2500, 0.7500, 0.5000)  4 Se 2.83, 4 Na 2.91
Nd (0.2500, 0.2500, 0.1187)  4 O 2.36
Nd (0.7500, 0.7500, 0.8813)  4 O 2.36
O (0.7500, 0.2500, 0.0000)  4 Nd 2.36
O (0.2500, 0.7500, 0.0000)  4 Nd 2.36
Se (0.7500, 0.7500, 0.2985)  4 Na 2.83
Se (0.2500, 0.2500, 0.7015)  4 Na 2.83

## Properties
- Crystal system: tetragonal

Q: Which of them is the least stable? A: entry b.

Entry a
Below is crystalline NaNdTeO at its relaxed geometry, with properties calculated at the PBE-GGA level.

a = 7.3154 Å, b = 7.8472 Å, c = 6.8546 Å
α = 90.00°, β = 99.77°, γ = 90.00°
With the nearest neighbours (Å) after each atom.
Fractional positions:
Na (0.8892, 0.2873, 0.0202)  1 O 2.42
Na (0.1108, 0.7873, 0.4798)  1 O 2.42
Na (0.8892, 0.2127, 0.5202)  1 O 2.42
Na (0.1108, 0.7127, 0.9798)  1 O 2.42
Nd (0.5450, 0.6229, 0.2221)  3 O 2.29-2.41
Nd (0.4550, 0.1229, 0.2779)  3 O 2.29-2.41
Nd (0.5450, 0.8771, 0.7221)  3 O 2.29-2.41
Nd (0.4550, 0.3771, 0.7779)  3 O 2.29-2.41
O (0.5866, 0.3448, 0.1028)  3 Nd 2.29-2.41, 1 Na 2.42
O (0.4134, 0.8448, 0.3972)  3 Nd 2.29-2.41, 1 Na 2.42
O (0.5866, 0.1552, 0.6028)  3 Nd 2.29-2.41, 1 Na 2.42
O (0.4134, 0.6552, 0.8972)  3 Nd 2.29-2.41, 1 Na 2.42
Te (0.8118, 0.9306, 0.1621)  4 Na 3.03-3.28, 3 Nd 3.18-3.33
Te (0.1882, 0.4306, 0.3379)  4 Na 3.03-3.28, 3 Nd 3.18-3.33
Te (0.8118, 0.5694, 0.6621)  4 Na 3.03-3.28, 3 Nd 3.18-3.33
Te (0.1882, 0.0694, 0.8379)  4 Na 3.03-3.28, 3 Nd 3.18-3.33

## Properties
- Crystal system: monoclinic

Entry b
Below is crystalline NaNdTeO at its relaxed geometry, with properties calculated at the PBE-GGA level.

a = 4.2640 Å, b = 4.2640 Å, c = 10.1070 Å
α = 90.00°, β = 90.00°, γ = 90.00°
With the nearest neighbours (Å) after each atom.
Fractional positions:
Na (0.7500, 0.2500, 0.5000)  4 Te 3.02, 4 Na 3.02
Na (0.2500, 0.7500, 0.5000)  4 Te 3.02, 4 Na 3.02
Nd (0.2500, 0.2500, 0.1061)  4 O 2.39
Nd (0.7500, 0.7500, 0.8939)  4 O 2.39
O (0.7500, 0.2500, 0.0000)  4 Nd 2.39
O (0.2500, 0.7500, 0.0000)  4 Nd 2.39
Te (0.7500, 0.7500, 0.2891)  4 Na 3.02
Te (0.2500, 0.2500, 0.7109)  4 Na 3.02

## Properties
- Crystal system: tetragonal

Entry c
Below is crystalline NaNdTeO at its relaxed geometry, with properties calculated at the PBE-GGA level.

a = 4.2803 Å, b = 7.2003 Å, c = 7.2181 Å
α = 90.00°, β = 90.00°, γ = 90.00°
With the nearest neighbours (Å) after each atom.
Fractional positions:
Na (0.0000, 0.3391, 0.1500)  2 O 2.41
Na (0.0000, 0.6609, 0.6500)  2 O 2.41
Nd (0.5000, 0.0297, 0.4505)  2 O 2.26-2.27
Nd (0.5000, 0.9703, 0.9505)  2 O 2.26-2.27
O (0.5000, 0.1868, 0.1793)  2 Nd 2.26-2.27, 2 Na 2.41
O (0.5000, 0.8132, 0.6793)  2 Nd 2.26-2.27, 2 Na 2.41
Te (0.0000, 0.7668, 0.2112)  2 Na 3.11-3.26, 4 Nd 3.20-3.34
Te (0.0000, 0.2332, 0.7112)  2 Na 3.11-3.26, 4 Nd 3.20-3.34

## Properties
- Crystal system: orthorhombic

Q: Which of them is the least stable? A: entry c.